{
  "formula": "Ba2SrRh",
  "functional": "PBE-GGA",
  "state": "relaxed",
  "cell": [[4.433, 0.000, 0.000], [0.000, 7.542, 0.125], [0.000, 4.768, 5.843]],
  "species": ["Rh", "Sr", "Ba", "Ba"],
  "frac_coords": [[0.000, 0.500, 0.500], [0.500, 0.645, 0.645], [0.000, 0.005, 0.005], [0.500, 0.350, 0.350]],
  "crystal_system": "orthorhombic",
  "e_above_lowest_polymorph_mev_per_atom": 67
}



{
  "formula": "Tb6Pm3Nd2Dy",
  "functional": "PBE-GGA",
  "state": "relaxed",
  "cell": [[-0.149, -6.031, -1.603], [4.500, 3.709, -2.226], [5.283, -1.850, 10.510]],
  "species": ["Pm", "Tb", "Tb", "Pm", "Tb", "Tb", "Nd", "Pm", "Tb", "Nd", "Dy", "Tb"],
  "frac_coords": [[0.833, 0.167, 0.500], [0.083, 0.416, 0.250], [0.917, 0.584, 0.750], [0.500, 0.500, 0.500], [0.249, 0.249, 0.750], [0.416, 0.083, 0.250], [0.333, 0.667, 0.000], [0.167, 0.833, 0.500], [0.751, 0.751, 0.250], [0.667, 0.333, 0.000], [0.000, 0.000, 0.000], [0.584, 0.917, 0.750]],
  "dft_energy_ev_per_atom": -4.669,
  "crystal_system": "monoclinic"
}



{
  "formula": "K2TcRu",
  "functional": "PBE-GGA",
  "state": "relaxed",
  "cell": [[-3.559, -3.755, -1.447], [-3.969, 1.231, -3.405], [0.047, -1.960, -5.002]],
  "species": ["K", "Tc", "Ru", "K"],
  "frac_coords": [[0.750, 0.750, 0.750], [0.000, 0.000, 0.000], [0.500, 0.500, 0.500], [0.250, 0.250, 0.250]],
  "crystal_system": "cubic",
  "e_above_lowest_polymorph_mev_per_atom": 1368
}



{
  "formula": "CuSbTe2F",
  "functional": "PBE-GGA",
  "state": "relaxed",
  "cell": [[-2.186, -4.344, 1.378], [0.421, -1.714, -4.736], [4.586, -1.955, 1.115]],
  "species": ["Te", "Sb", "F", "Te", "Cu"],
  "frac_coords": [[0.000, 0.500, 0.000], [0.000, 0.000, 0.500], [0.500, 0.500, 0.500], [0.500, 0.000, 0.000], [0.000, 0.000, 0.000]],
  "crystal_system": "tetragonal",
  "e_above_lowest_polymorph_mev_per_atom": 0
}



Number 1: volume 192.71 Å³/f.u.. Number 2: volume 395.72 Å³/f.u.. Number 3: volume 109.65 Å³/f.u.. Number 4: volume 130.50 Å³/f.u..